Entry 1:
Entry from Alexandria: a relaxed Nd2RuCl crystal (GGA-PBE).

Cell lengths 4.0275, 4.0275, 8.0995 Å; angles 75.60, 75.60, 60.00 degrees
Closest atoms and distances in Å follow each position.
Element x y z (fractional)
Cl 0.4982 0.4982 0.5055  6 Nd 3.23-3.31
Ru 0.6673 0.6673 0.9982  6 Nd 2.81-2.82
Nd 0.2658 0.2658 0.2026  3 Ru 2.81
Nd 0.0688 0.0688 0.7937  3 Ru 2.82

Calculated values
E above lowest polymorph: 21.9 meV per atom
Crystal system: trigonal
Uncorrected formation energy: -823 meV/atom
V: 109.0 Å³/cell
Raw total energy: -0.440 Ry per atom
Magnetization: 0.000 μB/f.u.

---

Entry 2:
Entry from Alexandria: a relaxed K4Cu3PdF12 crystal (GGA-PBE).

Cell lengths 7.1550, 7.1550, 7.1550 Å; angles 109.47, 109.47, 109.47 degrees
Closest atoms and distances in Å follow each position.
Element x y z (fractional)
Cu 0.0000 0.5000 0.5000  6 F 2.01-2.07
Cu 0.5000 0.5000 0.0000  6 F 2.01-2.07
F 0.7500 0.5000 0.2500  2 Cu 2.07
F 0.2565 0.0000 0.2565  1 Cu 2.01, 1 Pd 2.12
Cu 0.5000 0.0000 0.5000  6 F 2.01-2.07
Pd 0.0000 0.0000 0.0000  6 F 2.12
F 0.7435 0.7435 0.0000  1 Cu 2.01, 1 Pd 2.12
F 0.0000 0.7435 0.7435  1 Cu 2.01, 1 Pd 2.12
F 0.5000 0.2500 0.7500  2 Cu 2.07
K 0.0000 0.5000 0.0000  12 F 2.92
K 0.0000 0.0000 0.5000  12 F 2.92
F 0.0000 0.2565 0.2565  1 Cu 2.01, 1 Pd 2.12
F 0.7435 0.0000 0.7435  1 Cu 2.01, 1 Pd 2.12
F 0.5000 0.7500 0.2500  2 Cu 2.07
K 0.5000 0.5000 0.5000  12 F 2.92
K 0.5000 0.0000 0.0000  12 F 2.92
F 0.2565 0.2565 0.0000  1 Cu 2.01, 1 Pd 2.12
F 0.2500 0.5000 0.7500  2 Cu 2.07
F 0.2500 0.7500 0.5000  2 Cu 2.07
F 0.7500 0.2500 0.5000  2 Cu 2.07

Calculated values
Crystal system: cubic
Uncorrected formation energy: -2052 meV/atom
V: 282.0 Å³/cell
Raw total energy: -0.314 Ry per atom
Magnetization: 0.914 μB/f.u.

---

Entry 3:
Entry from Alexandria: a relaxed NdPaCrN3 crystal (GGA-PBE).

Cell lengths 3.4089, 7.3870, 7.3479 Å; angles 101.57, 90.00, 90.00 degrees
Closest atoms and distances in Å follow each position.
Element x y z (fractional)
N 0.2500 0.5650 0.8658  3 Pa 2.28-2.35
N 0.7500 0.4350 0.1342  3 Pa 2.28-2.35
Pa 0.2500 0.6583 0.1814  5 N 2.28-2.39
N 0.2500 0.8177 0.5316  3 Cr 1.93-2.08
Pa 0.7500 0.3417 0.8186  5 N 2.28-2.39
N 0.7500 0.8756 0.1467  1 Cr 1.97
Nd 0.7500 0.8277 0.7983  7 N 2.51-2.74
Cr 0.7500 0.9154 0.4198  4 N 1.93-2.08
Cr 0.2500 0.0846 0.5802  4 N 1.93-2.08
Nd 0.2500 0.1723 0.2017  7 N 2.51-2.74
N 0.2500 0.1244 0.8533  1 Cr 1.97
N 0.7500 0.1823 0.4684  3 Cr 1.93-2.08

Calculated values
Crystal system: monoclinic
Uncorrected formation energy: -1126 meV/atom
V: 181.3 Å³/cell
Raw total energy: -0.681 Ry per atom
Magnetization: 0.808 μB/f.u.

---

Entry 4:
Entry from Alexandria: a relaxed Ca2As2Pt crystal (GGA-PBE).

Cell lengths 7.0086, 7.0086, 4.3856 Å; angles 90.00, 90.00, 90.00 degrees
Closest atoms and distances in Å follow each position.
Element x y z (fractional)
As 0.6437 0.1437 0.0000  2 Pt 2.69, 1 As 2.85, 2 Ca 2.88
Ca 0.1680 0.6680 0.5000  6 As 2.88-3.10
Ca 0.8320 0.3320 0.5000  6 As 2.88-3.10
Pt 0.5000 0.5000 0.0000  4 As 2.69
As 0.8563 0.6437 0.0000  2 Pt 2.69, 1 As 2.85, 2 Ca 2.88
Ca 0.6680 0.8320 0.5000  6 As 2.88-3.10
Pt 0.0000 0.0000 0.0000  4 As 2.69
As 0.1437 0.3563 0.0000  2 Pt 2.69, 1 As 2.85, 2 Ca 2.88
As 0.3563 0.8563 0.0000  2 Pt 2.69, 1 As 2.85, 2 Ca 2.88
Ca 0.3320 0.1680 0.5000  6 As 2.88-3.10

Calculated values
E above lowest polymorph: 91.5 meV per atom
Crystal system: tetragonal
V: 215.4 Å³/cell
Raw total energy: -0.351 Ry per atom
Magnetization: 0.000 μB/f.u.

---

Entry 5:
Entry from Alexandria: a relaxed Zr2ScSn crystal (GGA-PBE).

Cell lengths 4.5616, 4.4234, 4.4234 Å; angles 90.00, 90.00, 90.00 degrees
Closest atoms and distances in Å follow each position.
Element x y z (fractional)
Sc 0.5000 0.5000 0.5000  4 Sn 3.13, 8 Zr 3.18
Zr 0.0000 0.0000 0.5000  4 Zr 3.13, 4 Sn 3.18, 4 Sc 3.18
Zr 0.0000 0.5000 0.0000  4 Zr 3.13, 4 Sc 3.18, 4 Sn 3.18
Sn 0.5000 0.0000 0.0000  4 Sc 3.13, 8 Zr 3.18

Calculated values
Crystal system: tetragonal
V: 89.3 Å³/cell
Raw total energy: -0.532 Ry per atom
Magnetization: 0.000 μB/f.u.

---

Entry 6:
Entry from Alexandria: a relaxed LiNb3V crystal (GGA-PBE).

Cell lengths 4.3991, 4.3991, 4.3991 Å; angles 90.00, 90.00, 90.00 degrees
Closest atoms and distances in Å follow each position.
Element x y z (fractional)
V 0.5000 0.5000 0.5000  12 Nb 3.11
Nb 0.0000 0.5000 0.0000  2 Li 2.20
Nb 0.0000 0.0000 0.5000  2 Li 2.20
Li 0.0000 0.0000 0.0000  6 Nb 2.20
Nb 0.5000 0.0000 0.0000  2 Li 2.20

Calculated values
E above lowest polymorph: 176.6 meV per atom
Crystal system: cubic
V: 85.1 Å³/cell
Raw total energy: -0.518 Ry per atom
Magnetization: 0.001 μB/f.u.

---

Entry 7:
Entry from Alexandria: a relaxed Cs5TaS4Cl2 crystal (GGA-PBE).

Cell lengths 8.2754, 7.2888, 10.3099 Å; angles 90.00, 90.00, 124.59 degrees
Closest atoms and distances in Å follow each position.
Element x y z (fractional)
S 0.3838 0.3052 0.0000  1 Ta 2.29
S 0.5584 0.0000 0.8185  1 Ta 2.30
Ta 0.3973 0.0000 0.0000  4 S 2.29-2.30
Cs 0.1068 0.3842 0.2363  3 S 3.42-3.78, 2 Cl 3.47-3.52
Cs 0.4311 0.0000 0.5000  2 S 3.45, 4 Cl 3.51-3.80
S 0.0786 0.6948 0.0000  1 Ta 2.29
Cl 0.3997 0.4599 0.5000  6 Cs 3.47-3.80
Cs 0.1068 0.3842 0.7637  3 S 3.42-3.78, 2 Cl 3.47-3.52
Cl 0.9398 0.5401 0.5000  6 Cs 3.47-3.80
Cs 0.7225 0.6158 0.2363  3 S 3.42-3.78, 2 Cl 3.47-3.52
S 0.5584 0.0000 0.1815  1 Ta 2.30
Cs 0.7225 0.6158 0.7637  3 S 3.42-3.78, 2 Cl 3.47-3.52

Calculated values
Crystal system: orthorhombic
Uncorrected formation energy: -1495 meV/atom
V: 511.9 Å³/cell
Raw total energy: -0.332 Ry per atom
Magnetization: 0.002 μB/f.u.

---

Entry 8:
Entry from Alexandria: a relaxed Zr2PtW crystal (GGA-PBE).

Cell lengths 5.5060, 5.5060, 5.5060 Å; angles 142.28, 131.78, 62.78 degrees
Closest atoms and distances in Å follow each position.
Element x y z (fractional)
Pt 0.4947 0.4947 0.0000  6 Zr 2.87-2.96, 2 W 2.90
Zr 0.7464 0.2464 0.5000  4 W 2.87, 2 Pt 2.96, 4 Zr 3.03-3.18
Zr 0.0078 0.0078 0.0000  4 Pt 2.87, 2 W 2.90, 4 Zr 3.03-3.18
W 0.2511 0.7511 0.5000  6 Zr 2.87-2.90, 2 Pt 2.90

Calculated values
Crystal system: orthorhombic
V: 75.3 Å³/cell
Raw total energy: -0.684 Ry per atom
Magnetization: 0.000 μB/f.u.

---

Entry 9:
Entry from Alexandria: a relaxed La12Pr6Th crystal (GGA-PBE).

Cell lengths 9.0442, 9.0442, 9.0442 Å; angles 98.82, 98.82, 98.82 degrees
Closest atoms and distances in Å follow each position.
Element x y z (fractional)
La 0.7392 0.9999 0.2607  4 Pr 3.55-3.63, 1 Th 3.58, 6 La 3.58-3.73
Pr 0.8581 0.5955 0.8583  4 La 3.55-3.63, 2 Pr 3.61, 1 Th 3.65
Th 0.0000 0.0000 0.0000  6 La 3.58, 6 Pr 3.65
La 0.8329 0.4161 0.4160  1 La 3.20
La 0.2608 0.0001 0.7393  4 Pr 3.55-3.63, 1 Th 3.58, 6 La 3.58-3.73
Pr 0.4045 0.1417 0.1419  4 La 3.55-3.63, 2 Pr 3.61, 1 Th 3.65
La 0.4161 0.4160 0.8329  1 La 3.20
La 0.5839 0.5840 0.1671  1 La 3.20
La 0.4160 0.8329 0.4161  1 La 3.20
Pr 0.1417 0.1419 0.4045  4 La 3.55-3.63, 2 Pr 3.61, 1 Th 3.65
Pr 0.8583 0.8581 0.5955  4 La 3.55-3.63, 2 Pr 3.61, 1 Th 3.65
Pr 0.1419 0.4045 0.1417  4 La 3.55-3.63, 2 Pr 3.61, 1 Th 3.65
La 0.7393 0.2608 0.0001  4 Pr 3.55-3.63, 1 Th 3.58, 6 La 3.58-3.73
La 0.1671 0.5839 0.5840  1 La 3.20
Pr 0.5955 0.8583 0.8581  4 La 3.55-3.63, 2 Pr 3.61, 1 Th 3.65
La 0.9999 0.2607 0.7392  4 Pr 3.55-3.63, 1 Th 3.58, 6 La 3.58-3.73
La 0.2607 0.7392 0.9999  4 Pr 3.55-3.63, 1 Th 3.58, 6 La 3.58-3.73
La 0.5840 0.1671 0.5839  1 La 3.20
La 0.0001 0.7393 0.2608  4 Pr 3.55-3.63, 1 Th 3.58, 6 La 3.58-3.73

Calculated values
Crystal system: trigonal
V: 710.4 Å³/cell
Raw total energy: -0.361 Ry per atom
Magnetization: 0.000 μB/f.u.

---

Entry 10:
Entry from Alexandria: a relaxed Ca2PmPr5 crystal (GGA-PBE).

Cell lengths 5.2705, 5.2705, 11.3329 Å; angles 103.45, 103.45, 90.00 degrees
Closest atoms and distances in Å follow each position.
Element x y z (fractional)
Pr 0.5000 0.5000 0.0000  8 Pr 3.65, 4 Pm 3.73
Pr 0.8817 0.3817 0.7634  2 Pm 3.65, 6 Pr 3.65-3.73, 4 Ca 3.86
Pr 0.6183 0.1183 0.2366  6 Pr 3.65-3.73, 2 Pm 3.65, 4 Ca 3.86
Ca 0.2502 0.2502 0.5004  4 Ca 3.73, 8 Pr 3.86
Ca 0.7498 0.7498 0.4996  4 Ca 3.73, 8 Pr 3.86
Pr 0.3817 0.8817 0.7634  6 Pr 3.65-3.73, 2 Pm 3.65, 4 Ca 3.86
Pr 0.1183 0.6183 0.2366  2 Pm 3.65, 6 Pr 3.65-3.73, 4 Ca 3.86
Pm 0.0000 0.0000 0.0000  12 Pr 3.65-3.73

Calculated values
Crystal system: tetragonal
V: 297.3 Å³/cell
Raw total energy: -0.297 Ry per atom
Magnetization: 0.000 μB/f.u.

---

Entry 11:
Entry from Alexandria: a relaxed TaInNiC crystal (GGA-PBE).

Cell lengths 3.2920, 3.6029, 5.5327 Å; angles 109.04, 105.73, 90.00 degrees
Closest atoms and distances in Å follow each position.
Element x y z (fractional)
In 0.1033 0.6369 0.4069  2 C 2.44-2.63
Ni 0.5080 0.9948 0.1236  2 C 1.89
C 0.3839 0.4439 0.0219  2 Ni 1.89, 2 Ta 2.05-2.07
Ta 0.7745 0.3208 0.7746  2 C 2.05-2.07

Calculated values
E above lowest polymorph: 364.5 meV per atom
Crystal system: monoclinic
V: 59.4 Å³/cell
Raw total energy: -0.524 Ry per atom
Magnetization: 0.000 μB/f.u.

---

Entry 12:
Entry from Alexandria: a relaxed Ta2TlAg crystal (GGA-PBE).

Cell lengths 5.2182, 5.2182, 5.3581 Å; angles 79.88, 79.88, 33.04 degrees
Closest atoms and distances in Å follow each position.
Element x y z (fractional)
Ag 0.7436 0.7436 0.7447  3 Tl 2.91-3.03, 7 Ta 2.96-3.18, 2 Ag 2.97
Tl 0.5015 0.5015 0.5163  3 Ag 2.91-3.03, 2 Tl 2.97, 7 Ta 3.04-3.17
Ta 0.9933 0.9933 0.0234  5 Ta 2.78-3.05, 4 Tl 3.04-3.08, 2 Ag 3.06
Ta 0.2617 0.2617 0.2156  5 Ta 2.78-3.05, 2 Ag 2.96

Calculated values
Crystal system: monoclinic
V: 78.2 Å³/cell
Raw total energy: -0.496 Ry per atom
Magnetization: 0.000 μB/f.u.

---

Q: What is the magnetization in the eighth record?
A: 0.000 μB/f.u.

---

Q: magnetization of number 12 (Ta2TlAg)?
A: 0.000 μB/f.u.

---

Q: Number 6 is which compound?
A: LiNb3V